A relaxed Cs2Ag2S3 crystal, computed with GGA-PBE.

The structure in POSCAR format:
```
Cs2Ag2S3
1.0
-5.318 5.318 5.318
5.318 -5.318 5.318
5.318 5.318 -5.318
Cs Ag S
4 4 6
direct
0.000 0.496 0.500
0.004 0.004 0.004
0.496 0.500 0.000
0.500 0.000 0.496
0.000 0.120 0.500
0.120 0.500 0.000
0.380 0.380 0.380
0.500 0.000 0.120
0.205 0.750 0.955
0.250 0.545 0.295
0.295 0.250 0.545
0.545 0.295 0.250
0.750 0.955 0.205
0.955 0.205 0.750
```

Calculated values
Fermi-level density of states	0.81	states/eV per atom
SG	No. 199
E_form (uncorrected)	-0.40	eV per atom



A relaxed Mn2HgRh crystal, computed with GGA-PBE.

The structure in POSCAR format:
```
Mn2HgRh
1.0
2.709 0.000 0.000
0.000 4.024 0.000
0.000 0.000 5.447
Mn Hg Rh
2 1 1
direct
0.000 0.000 0.183
0.000 0.000 0.817
0.500 0.500 0.500
0.500 0.500 0.000
```

Calculated values
Fermi-level density of states	1.15	states/eV per atom
SG	No. 47
energy of formation	0.4104	eV per atom



A relaxed La3Ho6Tl crystal, computed with GGA-PBE.

The structure in POSCAR format:
```
La3Ho6Tl
1.0
6.654 -7.816 0.000
6.654 7.816 0.000
0.000 0.000 6.384
La Ho Tl
6 12 2
direct
0.140 0.860 0.500
0.213 0.388 0.159
0.388 0.213 0.659
0.612 0.787 0.159
0.787 0.612 0.659
0.860 0.140 0.000
0.061 0.177 0.497
0.095 0.487 0.692
0.177 0.061 0.997
0.253 0.747 0.005
0.453 0.547 0.832
0.487 0.095 0.192
0.513 0.905 0.692
0.547 0.453 0.332
0.747 0.253 0.505
0.823 0.939 0.497
0.905 0.513 0.192
0.939 0.823 0.997
0.344 0.656 0.442
0.656 0.344 0.942
```

Calculated values
Fermi-level density of states	1.32	states/eV per atom
SG	No. 36
energy of formation	0.0760	eV per atom



A relaxed LiCePmCo crystal, computed with GGA-PBE.

The structure in POSCAR format:
```
LiCePmCo
1.0
0.000 3.500 3.500
3.500 0.000 3.500
3.500 3.500 0.000
Li Ce Pm Co
1 1 1 1
direct
0.000 0.000 0.000
0.750 0.750 0.750
0.250 0.250 0.250
0.500 0.500 0.500
```

Calculated values
Fermi-level density of states	1.58	states/eV per atom
SG	No. 216
energy of formation	0.0815	eV per atom